## LiTcAs2Br (PBE)

Data for a relaxed LiTcAs2Br crystal.

POSCAR file:
```
LiTcAs2Br
1.0
-2.075 -0.628 4.184
-0.218 -4.638 -0.804
5.167 -0.669 2.462
As Tc Br Li
2 1 1 1
Cartesian
-0.109 -2.319 -0.402
-1.038 -0.314 2.092
0.000 0.000 0.000
2.584 -0.335 1.231
1.437 -2.968 2.921
```

Properties
Energy above the most stable polymorph in this dataset ... 0.000 eV per atom
Formation energy (no corrections) ... 0.0152 eV/atom
Crystal system ... tetragonal
Final energy ... -4.635 eV per atom



## Dy5Y2 (PBE)

Data for a relaxed Dy5Y2 crystal.

POSCAR file:
```
Dy5Y2
1.0
6.034 0.000 -1.755
-0.013 6.708 -0.046
-0.034 0.236 11.131
Dy Y
10 4
Cartesian
0.345 3.651 3.053
4.633 6.647 6.545
2.202 2.287 5.684
4.803 1.303 3.374
3.784 4.657 3.646
1.184 5.641 5.955
1.354 0.298 2.785
5.642 3.293 6.277
0.484 5.031 -0.178
5.536 1.677 -1.623
3.051 4.274 8.603
3.940 6.024 0.410
2.935 2.670 0.727
2.046 0.920 8.920
```

Properties
Energy of formation from the pure elements ... 6 meV per atom
Crystal system ... monoclinic
Final energy ... -5.128 eV per atom



## Sc3UTe6 (PBE)

Data for a relaxed Sc3UTe6 crystal.

POSCAR file:
```
Sc3UTe6
1.0
-0.639 -2.909 2.937
3.712 -8.788 -7.896
9.419 4.826 6.828
Sc U Te
6 2 12
Cartesian
5.761 0.631 3.366
6.731 -7.501 -1.497
4.537 -3.946 -1.431
7.955 -2.925 3.301
11.064 -4.640 -0.699
1.428 -2.231 2.569
9.889 1.335 4.962
2.603 -8.206 -3.092
6.393 -1.455 1.439
6.099 -5.416 0.430
3.936 -8.414 -5.987
8.556 1.543 7.856
9.056 -6.016 -2.499
3.436 -0.854 4.369
4.999 -6.061 -3.426
7.493 -0.809 5.295
10.225 -1.036 2.686
2.267 -5.834 -0.817
2.832 -2.068 0.057
9.660 -4.803 1.812
```

Properties
Formation energy (no corrections) ... -1.0498 eV/atom
Crystal system ... monoclinic
Final energy ... -5.963 eV per atom